A crystal of SrAlSnS2 relaxed with PBEsol. Source: Alexandria, functional SCAN.

Computed properties:
**Formation energy without anion corrections**: -0.302 eV/atom
**SG**: P4/mmm (123)
**Theoretical density**: 3.6 g/cm³
**Total energy**: -86.7 eV per cell

a = 4.9943 Å, b = 5.2740 Å, c = 5.2740 Å
α = 90.00°, β = 90.00°, γ = 90.00°
Last column: nearest neighbours and their distance in Å.
Atoms (fractional coordinates):
S 0.0000 0.0000 0.5000  2 Sn 2.64
Al 0.5000 0.0000 0.0000  2 Sn 2.50
Sn 0.0000 0.0000 0.0000  2 Al 2.50, 4 S 2.64
S 0.0000 0.5000 0.0000  2 Sn 2.64
Sr 0.5000 0.5000 0.5000  8 S 3.63, 4 Al 3.73

A crystal of NaNbAl2B relaxed with PBEsol. Source: Alexandria, functional SCAN.

Computed properties:
**SG**: P4/mmm (123)
**Energy of formation**: 1.827 eV/atom
**Theoretical density**: 3.5 g/cm³
**Total energy**: -51.1 eV per cell

a = 4.0948 Å, b = 4.5888 Å, c = 4.5888 Å
α = 90.00°, β = 90.00°, γ = 90.00°
Last column: nearest neighbours and their distance in Å.
Atoms (fractional coordinates):
Al 0.0000 0.0000 0.5000  2 Na 2.29
Na 0.0000 0.0000 0.0000  2 B 2.05
B 0.5000 0.0000 0.0000  2 Na 2.05
Nb 0.5000 0.5000 0.5000  8 Al 3.08, 4 B 3.24
Al 0.0000 0.5000 0.0000  2 Na 2.29

A crystal of BeCd2W relaxed with PBEsol. Source: Alexandria, functional SCAN.

Computed properties:
**SG**: Immm (71)
**Energy of formation**: 0.593 eV/atom
**Theoretical density**: 11.3 g/cm³
**Total energy**: -132.5 eV per cell

a = 2.8052 Å, b = 4.5729 Å, c = 5.5029 Å
α = 114.55°, β = 104.77°, γ = 90.00°
Last column: nearest neighbours and their distance in Å.
Atoms (fractional coordinates):
Cd 0.7156 0.7156 0.4311  2 Be 2.50, 4 Cd 2.76
Cd 0.2844 0.2844 0.5689  2 Be 2.50, 4 Cd 2.76
Be 0.0000 0.5000 0.0000  4 Cd 2.50, 4 W 2.68
W 0.5000 0.0000 0.0000  4 Be 2.68, 2 W 2.81

A crystal of AsIr2 relaxed with PBEsol. Source: Alexandria, functional SCAN.

Computed properties:
**SG**: I4/mmm (139)
**Energy of formation**: 0.307 eV/atom
**Theoretical density**: 17.6 g/cm³
**Total energy**: -161.5 eV per cell

a = 2.8793 Å, b = 2.8793 Å, c = 5.6052 Å
α = 104.88°, β = 104.88°, γ = 90.00°
Last column: nearest neighbours and their distance in Å.
Atoms (fractional coordinates):
As 0.0000 0.0000 0.0000  8 Ir 2.61, 4 As 2.88
Ir 0.6559 0.6559 0.3118  4 As 2.61, 8 Ir 2.83-2.88
Ir 0.3441 0.3441 0.6882  4 As 2.61, 8 Ir 2.83-2.88

A crystal of K2NaPrCl6 relaxed with PBEsol. Source: Alexandria, functional SCAN.

Computed properties:
**Formation energy without anion corrections**: -2.257 eV/atom
**SG**: Fm-3m (225)
**Theoretical density**: 2.4 g/cm³
**Total energy**: -134.6 eV per cell

a = 7.6043 Å, b = 7.6043 Å, c = 7.6043 Å
α = 60.00°, β = 60.00°, γ = 60.00°
Last column: nearest neighbours and their distance in Å.
Atoms (fractional coordinates):
K 0.2500 0.2500 0.2500  12 Cl 3.80
Na 0.5000 0.5000 0.5000  6 Cl 2.67
Pr 0.0000 0.0000 0.0000  6 Cl 2.70
Cl 0.2515 0.7485 0.2515  1 Na 2.67, 1 Pr 2.70
K 0.7500 0.7500 0.7500  12 Cl 3.80
Cl 0.7485 0.2515 0.7485  1 Na 2.67, 1 Pr 2.70
Cl 0.2515 0.2515 0.7485  1 Na 2.67, 1 Pr 2.70
Cl 0.7485 0.2515 0.2515  1 Na 2.67, 1 Pr 2.70
Cl 0.7485 0.7485 0.2515  1 Na 2.67, 1 Pr 2.70
Cl 0.2515 0.7485 0.7485  1 Na 2.67, 1 Pr 2.70

A crystal of Fe4IrRh relaxed with PBEsol. Source: Alexandria, functional SCAN.

Computed properties:
**SG**: F-43m (216)
**Energy of formation**: 0.022 eV/atom
**Theoretical density**: 12.3 g/cm³
**Total energy**: -177.3 eV per cell

a = 4.6253 Å, b = 4.6253 Å, c = 4.6253 Å
α = 60.00°, β = 60.00°, γ = 60.00°
Last column: nearest neighbours and their distance in Å.
Atoms (fractional coordinates):
Fe 0.8753 0.3749 0.3749  6 Fe 2.31
Rh 0.0000 0.0000 0.0000  12 Fe 2.71, 4 Ir 2.83
Fe 0.3749 0.8753 0.3749  6 Fe 2.31
Ir 0.7500 0.7500 0.7500  12 Fe 2.71, 4 Rh 2.83
Fe 0.3749 0.3749 0.3749  6 Fe 2.31
Fe 0.3749 0.3749 0.8753  6 Fe 2.31

A crystal of Si2RuPb relaxed with PBEsol. Source: Alexandria, functional SCAN.

Computed properties:
**Formation energy without anion corrections**: 0.527 eV/atom
**SG**: Immm (71)
**Theoretical density**: 8.6 g/cm³
**Total energy**: -128.5 eV per cell

a = 2.9163 Å, b = 5.8390 Å, c = 5.8390 Å
α = 47.69°, β = 75.54°, γ = 75.54°
Last column: nearest neighbours and their distance in Å.
Atoms (fractional coordinates):
Pb 0.5000 0.0000 0.0000  4 Ru 2.77, 2 Pb 2.92
Si 0.2983 0.7017 0.7017  2 Ru 2.53
Si 0.7017 0.2983 0.2983  2 Ru 2.53
Ru 0.0000 0.5000 0.5000  4 Si 2.53, 4 Pb 2.77

A crystal of Zr2CoAu relaxed with PBEsol. Source: Alexandria, functional SCAN.

Computed properties:
**SG**: Amm2 (38)
**ΔE to the lowest computed polymorph**: 0 meV/atom
**Energy of formation**: -0.538 eV/atom
**Theoretical density**: 10.2 g/cm³
**Total energy**: -150.0 eV per cell

a = 3.3819 Å, b = 4.1246 Å, c = 5.3830 Å
α = 90.00°, β = 108.27°, γ = 90.00°
Last column: nearest neighbours and their distance in Å.
Atoms (fractional coordinates):
Co 0.4709 0.5000 0.8176  5 Zr 2.54-2.70, 2 Au 2.74
Zr 0.0145 0.0000 0.9049  4 Co 2.70, 3 Au 2.82-2.85
Zr 0.7203 0.5000 0.3143  1 Co 2.54, 4 Au 2.77
Au 0.2943 0.0000 0.4632  2 Co 2.74, 7 Zr 2.77-2.85

A crystal of BeSb2Te relaxed with PBEsol. Source: Alexandria, functional SCAN.

Computed properties:
**Formation energy without anion corrections**: 0.239 eV/atom
**SG**: Cm (8)
**ΔE to the lowest computed polymorph**: 0 meV/atom
**Theoretical density**: 6.6 g/cm³
**Total energy**: -115.2 eV per cell

a = 3.5491 Å, b = 4.8621 Å, c = 6.3083 Å
α = 112.77°, β = 106.34°, γ = 90.00°
Last column: nearest neighbours and their distance in Å.
Atoms (fractional coordinates):
Sb 0.7596 0.2787 0.5192  2 Be 2.63
Sb 0.9210 0.9521 0.8421  2 Be 2.76, 2 Sb 2.97-3.06
Be 0.2370 0.6527 0.4740  2 Te 2.53, 4 Sb 2.63-2.76
Te 0.5824 0.6164 0.1647  2 Be 2.53

A crystal of Al2GaPb relaxed with PBEsol. Source: Alexandria, functional SCAN.

Computed properties:
**SG**: Fm-3m (225)
**Energy of formation**: 0.268 eV/atom
**Theoretical density**: 6.6 g/cm³
**Total energy**: -106.6 eV per cell

a = 4.9100 Å, b = 4.9100 Å, c = 4.9100 Å
α = 60.00°, β = 60.00°, γ = 60.00°
Last column: nearest neighbours and their distance in Å.
Atoms (fractional coordinates):
Pb 0.5000 0.5000 0.5000  8 Al 3.01
Al 0.2500 0.2500 0.2500  4 Pb 3.01, 4 Ga 3.01
Ga 0.0000 0.0000 0.0000  8 Al 3.01
Al 0.7500 0.7500 0.7500  4 Pb 3.01, 4 Ga 3.01

The highest theoretical density belongs to which entry?
AsIr2

Which formula does entry 1 have?
SrAlSnS2

Which value of theoretical density does entry 10 give?
6.6 g/cm³

Look up the total energy of the ninth one.
-115.2 eV per cell